No. 1
Below is an optimized crystal structure of DyY2Te3, with properties calculated at the PBE-GGA level.

calculated volume	176	Å³/f.u.
E	-5.791	eV per atom
SG	Immm, No. 71
raw formation energy	-1.30	eV/atom

abc: 4.3819 6.1495 7.5440
angles: 114.05 106.88 90.00
With the nearest neighbours (Å) after each atom.
Fractional positions:
Dy 0.5000 0.5000 0.5000  6 Te 3.07-3.08
Y 0.8321 0.8321 0.1642  6 Te 3.07-3.10
Y 0.1679 0.1679 0.8358  6 Te 3.07-3.10
Te 0.8342 0.3342 0.1684  4 Y 3.07-3.09, 2 Dy 3.08
Te 0.1658 0.6658 0.8316  4 Y 3.07-3.09, 2 Dy 3.08
Te 0.5000 0.0000 0.5000  2 Dy 3.07, 4 Y 3.10

=====

No. 2
Below is an optimized crystal structure of Dy5YTe4, with properties calculated at the PBE-GGA level.

calculated volume	315	Å³/f.u.
E	-5.117	eV per atom
SG	C2/m, No. 12
raw formation energy	-0.91	eV/atom

abc: 4.1517 8.5137 9.3601
angles: 102.17 102.81 90.00
With the nearest neighbours (Å) after each atom.
Fractional positions:
Dy 0.1885 0.3590 0.3771  3 Te 3.15-3.21
Dy 0.1634 0.7863 0.3267  4 Te 3.06-3.14
Dy 0.8366 0.2137 0.6733  4 Te 3.06-3.14
Dy 0.5000 0.5000 0.0000  4 Te 2.98
Dy 0.8115 0.6410 0.6229  3 Te 3.15-3.21
Y 0.5000 0.0000 0.0000  6 Te 2.99-3.00
Te 0.6683 0.0658 0.3367  1 Y 3.00, 5 Dy 3.06-3.21
Te 0.0120 0.2563 0.0241  4 Dy 2.98-3.15, 2 Y 2.99
Te 0.3317 0.9342 0.6633  1 Y 3.00, 5 Dy 3.06-3.21
Te 0.9880 0.7437 0.9759  4 Dy 2.98-3.15, 2 Y 2.99

=====

No. 3
Below is an optimized crystal structure of DyZnTe3, with properties calculated at the PBE-GGA level.

calculated volume	152	Å³/f.u.
E	-3.780	eV per atom
SG	Cmcm, No. 63
raw formation energy	-0.72	eV/atom

abc: 4.1303 7.8931 9.6903
angles: 90.00 90.00 105.16
With the nearest neighbours (Å) after each atom.
Fractional positions:
Dy 0.2364 0.9732 0.2500  8 Te 3.14-3.29
Dy 0.7636 0.0268 0.7500  8 Te 3.14-3.29
Zn 0.9712 0.4425 0.2500  4 Te 2.66
Zn 0.0288 0.5575 0.7500  4 Te 2.66
Te 0.8414 0.1831 0.0666  1 Zn 2.66
Te 0.1586 0.8169 0.9334  1 Zn 2.66
Te 0.8414 0.1831 0.4334  1 Zn 2.66
Te 0.1586 0.8169 0.5666  1 Zn 2.66
Te 0.5817 0.6635 0.2500  2 Zn 2.66
Te 0.4183 0.3365 0.7500  2 Zn 2.66